No. 1
The following is a DFT calculation (PBE-GGA) of an optimized crystal structure of Na6RhF12.

total magnetization: 9.1 μB/cell
ΔE_f (raw): -2.17 eV per atom
DOS(E_F): 52.08 states/eV/cell

Cell: 10.1432 10.1432 9.6122 Å, 90.00 90.00 120.00°
Space group R-3 (No. 148, hexagonal axes)
Symmetry-distinct sites (fractional):
Na  0.0213  0.7867  0.1332 [18 per cell]
Rh  0.0000  0.0000  0.5000 [3 per cell]
F  0.0169  0.7926  0.8949 [18 per cell]
F  0.0257  0.8590  0.3872 [18 per cell]

=====

No. 2
The following is a DFT calculation (PBE-GGA) of an optimized crystal structure of Na3RhF8.

total magnetization: 0.0 μB/cell
ΔE_f (raw): -2.05 eV per atom
DOS(E_F): 0.00 states/eV/cell

Cell: 5.341 5.341 10.463 Å, 90.00 90.00 90.00°
Space group I4/mmm (No. 139)
Symmetry-distinct sites (fractional):
Na  0.000  0.000  0.000 [2 per cell]
Na  0.000  0.500  0.250 [4 per cell]
Rh  0.000  0.000  0.500 [2 per cell]
F  0.220  0.220  0.387 [16 per cell]

=====

No. 3
The following is a DFT calculation (PBE-GGA) of an optimized crystal structure of Na2RhF4.

total magnetization: 2.0 μB/cell
ΔE_f (raw): -1.99 eV per atom
DOS(E_F): 0.98 states/eV/cell

Cell: 11.135 3.172 6.366 Å, 90.00 123.12 90.00°
Space group C2/m (No. 12)
Symmetry-distinct sites (fractional):
Na  0.151  0.000  0.194 [4 per cell]
Rh  0.000  0.500  0.500 [2 per cell]
F  0.044  0.500  0.854 [4 per cell]
F  0.169  0.000  0.592 [4 per cell]

=====

No. 4
The following is a DFT calculation (PBE-GGA) of an optimized crystal structure of NaRh2F8.

total magnetization: 1.8 μB/cell
ΔE_f (raw): -1.60 eV per atom
DOS(E_F): 8.21 states/eV/cell

Cell: 4.270 6.348 6.365 Å, 71.21 89.54 89.68°
Space group P-1 (No. 2)
Symmetry-distinct sites (fractional):
Na  0.000  0.000  0.000 [1 per cell]
Rh  0.251  0.383  0.382 [2 per cell]
F  0.248  0.588  0.589 [2 per cell]
F  0.250  0.133  0.651 [2 per cell]
F  0.253  0.654  0.135 [2 per cell]
F  0.258  0.202  0.199 [2 per cell]

=====

No. 5
The following is a DFT calculation (PBE-GGA) of an optimized crystal structure of NaRh2F8.

total magnetization: 2.1 μB/cell
ΔE_f (raw): -1.46 eV per atom
DOS(E_F): 8.53 states/eV/cell

Cell: 11.252 7.343 4.040 Å, 90.00 94.29 90.00°
Space group C2/m (No. 12)
Symmetry-distinct sites (fractional):
Na  0.000  0.000  0.000 [2 per cell]
Rh  0.238  0.500  0.367 [4 per cell]
F  0.074  0.500  0.273 [4 per cell]
F  0.130  0.169  0.599 [8 per cell]
F  0.237  0.000  0.126 [4 per cell]

=====

No. 6
The following is a DFT calculation (PBE-GGA) of an optimized crystal structure of Na3RhF8.

total magnetization: 0.0 μB/cell
ΔE_f (raw): -2.04 eV per atom
DOS(E_F): 0.00 states/eV/cell

Cell: 5.300 5.300 5.300 Å, 90.00 90.00 90.00°
Space group Pm-3m (No. 221)
Symmetry-distinct sites (fractional):
Na  0.000  0.000  0.500 [3 per cell]
Rh  0.500  0.500  0.500 [1 per cell]
F  0.278  0.278  0.278 [8 per cell]